1.
A plane-wave DFT calculation with PBE was carried out for crystalline Ni2Ge2Rh at its relaxed geometry.

Cell lengths 3.552, 3.552, 6.085 Å; angles 73.03, 73.03, 90.00 degrees
Element x y z (fractional)
Ni (0.250, 0.750, 0.500)
Ge (0.611, 0.611, 0.779)
Ni (0.750, 0.250, 0.500)
Ge (0.389, 0.389, 0.221)
Rh (0.000, 0.000, 0.000)

Properties
total DFT energy (no corrections)	-5.724	eV per atom
relative energy among the computed polymorphs	90.7	kJ/mol of formula units
crystal system	tetragonal
M_tot	0.00	Bohr magnetons per cell


2.
A plane-wave DFT calculation with PBE was carried out for crystalline NiGe2Rh at its relaxed geometry.

Cell lengths 4.294, 4.294, 4.294 Å; angles 60.00, 60.00, 60.00 degrees
Element x y z (fractional)
Ge (0.750, 0.750, 0.750)
Ge (0.250, 0.250, 0.250)
Rh (0.500, 0.500, 0.500)
Ni (0.000, 0.000, 0.000)

Properties
total DFT energy (no corrections)	-5.769	eV per atom
relative energy among the computed polymorphs	14.9	kJ/mol of formula units
crystal system	cubic
M_tot	0.00	Bohr magnetons per cell


> Which value of relative energy among the computed polymorphs does entry 2 give?

14.9 kJ/mol of formula units


Please write out number 1 again, unchanged.
A plane-wave DFT calculation with PBE was carried out for crystalline Ni2Ge2Rh at its relaxed geometry.

Cell lengths 3.552, 3.552, 6.085 Å; angles 73.03, 73.03, 90.00 degrees
Element x y z (fractional)
Ni (0.250, 0.750, 0.500)
Ge (0.611, 0.611, 0.779)
Ni (0.750, 0.250, 0.500)
Ge (0.389, 0.389, 0.221)
Rh (0.000, 0.000, 0.000)

Properties
total DFT energy (no corrections)	-5.724	eV per atom
relative energy among the computed polymorphs	90.7	kJ/mol of formula units
crystal system	tetragonal
M_tot	0.00	Bohr magnetons per cell